(1)
{
  "formula": "NaZr2Se",
  "functional": "PBE",
  "state": "optimized geometry",
  "sg": "I-42d",
  "formation_energy_uncorrected_ev_per_atom": 0.08,
  "lattice_angstrom": [[4.130, 0.000, 0.000], [0.000, 4.130, 0.000], [0.000, 0.000, 21.439]],
  "species": ["Na", "Na", "Na", "Na", "Zr", "Zr", "Zr", "Zr", "Zr", "Zr", "Zr", "Zr", "Se", "Se", "Se", "Se"],
  "frac_coords": [[0.000, 0.000, 0.000], [0.000, 0.500, 0.250], [0.500, 0.000, 0.750], [0.500, 0.500, 0.500], [0.227, 0.250, 0.625], [0.250, 0.727, 0.875], [0.250, 0.773, 0.375], [0.273, 0.250, 0.125], [0.727, 0.750, 0.125], [0.750, 0.227, 0.375], [0.750, 0.273, 0.875], [0.773, 0.750, 0.625], [0.000, 0.000, 0.500], [0.000, 0.500, 0.750], [0.500, 0.000, 0.250], [0.500, 0.500, 0.000]]
}



(2)
{
  "formula": "La3Al9Ga2",
  "functional": "PBE",
  "state": "optimized geometry",
  "total_energy_ev_per_atom": -4.30,
  "sg": "Immm",
  "lattice_angstrom": [[-2.222, 5.085, 6.555], [2.222, -5.085, 6.555], [2.222, 5.085, -6.555]],
  "species": ["La", "La", "La", "Al", "Al", "Al", "Al", "Al", "Al", "Al", "Al", "Al", "Ga", "Ga"],
  "frac_coords": [[0.000, 0.000, 0.000], [0.318, 0.318, 0.000], [0.682, 0.682, 0.000], [0.033, 0.664, 0.369], [0.132, 0.859, 0.273], [0.295, 0.664, 0.631], [0.413, 0.141, 0.273], [0.500, 0.000, 0.500], [0.587, 0.859, 0.727], [0.705, 0.336, 0.369], [0.868, 0.141, 0.727], [0.967, 0.336, 0.631], [0.282, 0.500, 0.782], [0.718, 0.500, 0.218]]
}



(3)
{
  "formula": "Mn3Tl2Cl10",
  "functional": "PBE",
  "state": "optimized geometry",
  "sg": "C2/m",
  "formation_energy_uncorrected_ev_per_atom": -1.01,
  "lattice_angstrom": [[11.571, -3.587, 0.000], [11.571, 3.587, 0.000], [-3.477, 0.000, 9.406]],
  "species": ["Mn", "Mn", "Mn", "Mn", "Mn", "Mn", "Tl", "Tl", "Tl", "Tl", "Cl", "Cl", "Cl", "Cl", "Cl", "Cl", "Cl", "Cl", "Cl", "Cl", "Cl", "Cl", "Cl", "Cl", "Cl", "Cl", "Cl", "Cl", "Cl", "Cl"],
  "frac_coords": [[0.244, 0.756, 0.000], [0.321, 0.321, 0.971], [0.431, 0.431, 0.549], [0.569, 0.569, 0.451], [0.679, 0.679, 0.029], [0.756, 0.244, 0.000], [0.125, 0.125, 0.763], [0.242, 0.242, 0.303], [0.758, 0.758, 0.697], [0.875, 0.875, 0.237], [0.000, 0.500, 0.000], [0.012, 0.012, 0.178], [0.133, 0.594, 0.527], [0.139, 0.634, 0.949], [0.265, 0.265, 0.733], [0.285, 0.715, 0.500], [0.364, 0.364, 0.214], [0.366, 0.861, 0.051], [0.406, 0.867, 0.473], [0.485, 0.485, 0.816], [0.500, 0.000, 0.000], [0.515, 0.515, 0.184], [0.594, 0.133, 0.527], [0.634, 0.139, 0.949], [0.636, 0.636, 0.786], [0.715, 0.285, 0.500], [0.735, 0.735, 0.267], [0.861, 0.366, 0.051], [0.867, 0.406, 0.473], [0.988, 0.988, 0.822]]
}



Computed volume (Å³ per cell) in order:
365.6 296.2 780.9
Computed M_tot (μB per formula unit) in order:
0.0 0.0 4.7